(1)
# RbYHgS3 (PBE, optimized geometry)
# - total moment (μB per formula unit) = 0.00
# - calculated total energy (eV per cell) = -108.86
data_RbYHgS3
_chemical_formula_sum 'Rb4 Y4 Hg4 S12'
_space_group_name_H-M_alt 'C 1 2/m 1'
_space_group_IT_number 12
_cell_length_a 17.6379
_cell_length_b 4.0908
_cell_length_c 9.0486
_cell_angle_alpha 90.00
_cell_angle_beta 102.46
_cell_angle_gamma 90.00
loop_
_space_group_symop_operation_xyz
'x,y,z'
'-x,-y,-z'
'-x,y,-z'
'x,-y,z'
'x+1/2,y+1/2,z'
'-x+1/2,-y+1/2,-z'
'-x+1/2,y+1/2,-z'
'x+1/2,-y+1/2,z'
loop_
_atom_site_label
_atom_site_fract_x
_atom_site_fract_y
_atom_site_fract_z
Rb1 0.1459 0.0000 0.0668
Y1 0.1691 0.0000 0.5739
Hg1 0.0135 0.5000 0.7254
S1 0.0000 0.0000 0.5000
S2 0.0000 0.5000 0.0000
S3 0.1653 0.5000 0.7739
S4 0.1718 0.5000 0.3716


(2)
# RbHgSb (PBE, optimized geometry)
# - calculated total energy (eV per cell) = -17.90
data_RbHgSb
_chemical_formula_sum 'Rb3 Hg3 Sb3'
_space_group_name_H-M_alt 'P -6 2 m'
_space_group_IT_number 189
_space_group_name_Hall 'P -6 -2'
_cell_length_a 7.9136
_cell_length_b 7.9136
_cell_length_c 5.5448
_cell_angle_alpha 90.00
_cell_angle_beta 90.00
_cell_angle_gamma 120.00
loop_
_atom_site_label
_atom_site_fract_x
_atom_site_fract_y
_atom_site_fract_z
Rb1 0.0000 0.5750 0.0000
Hg1 0.0000 0.0000 0.0000
Hg2 0.3333 0.6667 0.5000
Sb1 0.0000 0.2344 0.5000


(3)
# RbHgSb (PBE, optimized geometry)
# - calculated total energy (eV per cell) = -17.66
data_RbHgSb
_chemical_formula_sum 'Rb3 Hg3 Sb3'
_space_group_name_H-M_alt 'P -6 2 m'
_space_group_IT_number 189
_space_group_name_Hall 'P -6 -2'
_cell_length_a 7.9340
_cell_length_b 7.9340
_cell_length_c 5.3847
_cell_angle_alpha 90.00
_cell_angle_beta 90.00
_cell_angle_gamma 120.00
loop_
_atom_site_label
_atom_site_fract_x
_atom_site_fract_y
_atom_site_fract_z
Rb1 0.0000 0.5587 0.0000
Hg1 0.0000 0.2514 0.5000
Sb1 0.0000 0.0000 0.0000
Sb2 0.3333 0.6667 0.5000


(4)
# RbHgSb (PBE, optimized geometry)
# - calculated total energy (eV per cell) = -15.93
data_RbHgSb
_chemical_formula_sum 'Rb3 Hg3 Sb3'
_space_group_name_H-M_alt 'P -6 2 m'
_space_group_IT_number 189
_space_group_name_Hall 'P -6 -2'
_cell_length_a 9.5512
_cell_length_b 9.5512
_cell_length_c 3.5995
_cell_angle_alpha 90.00
_cell_angle_beta 90.00
_cell_angle_gamma 120.00
loop_
_atom_site_label
_atom_site_fract_x
_atom_site_fract_y
_atom_site_fract_z
Rb1 0.0000 0.3047 0.0000
Hg1 0.0000 0.6397 0.5000
Sb1 0.0000 0.0000 0.5000
Sb2 0.3333 0.6667 0.0000


(5)
# RbHgSbSe3 (PBE, optimized geometry)
# - ΔE to the lowest computed polymorph (meV per atom) = 35
data_RbHgSbSe3
_chemical_formula_sum 'Rb4 Hg4 Sb4 Se12'
_space_group_name_H-M_alt 'C m c m'
_space_group_IT_number 63
_space_group_name_Hall '-C 2c 2'
_cell_length_a 4.3263
_cell_length_b 15.4540
_cell_length_c 11.1703
_cell_angle_alpha 90.00
_cell_angle_beta 90.00
_cell_angle_gamma 90.00
loop_
_atom_site_label
_atom_site_fract_x
_atom_site_fract_y
_atom_site_fract_z
Rb1 0.0000 0.2455 0.2500
Hg1 0.0000 0.0481 0.7500
Sb1 0.0000 0.5000 0.0000
Se1 0.0000 0.1257 0.5395
Se2 0.0000 0.4364 0.7500


(6)
# RbHgSbSe3 (PBE, optimized geometry)
# - ΔE to the lowest computed polymorph (meV per atom) = 0
data_RbHgSbSe3
_chemical_formula_sum 'Rb4 Hg4 Sb4 Se12'
_space_group_name_H-M_alt 'P 1 21/c 1'
_space_group_IT_number 14
_cell_length_a 7.8481
_cell_length_b 11.3912
_cell_length_c 8.9803
_cell_angle_alpha 90.00
_cell_angle_beta 106.57
_cell_angle_gamma 90.00
loop_
_space_group_symop_operation_xyz
'x,y,z'
'-x,-y,-z'
'-x,y+1/2,-z+1/2'
'x,-y+1/2,z+1/2'
loop_
_atom_site_label
_atom_site_fract_x
_atom_site_fract_y
_atom_site_fract_z
Rb1 0.0121 0.2421 0.3794
Hg1 0.4081 0.7492 0.4770
Sb1 0.4460 0.0010 0.2358
Se1 0.2284 0.5497 0.9049
Se2 0.2304 0.5481 0.4582
Se3 0.3687 0.2292 0.2178


(7)
# Rb2TmHgSb2 (PBE, optimized geometry)
# - total moment (μB per formula unit) = 0.88
# - calculated total energy (eV per cell) = -16.84
data_Rb2TmHgSb2
_chemical_formula_sum 'Rb2 Tm1 Hg1 Sb2'
_space_group_name_H-M_alt 'P -6 m 2'
_space_group_IT_number 187
_space_group_name_Hall 'P -6 2'
_cell_length_a 5.0541
_cell_length_b 5.0541
_cell_length_c 11.3269
_cell_angle_alpha 90.00
_cell_angle_beta 90.00
_cell_angle_gamma 120.00
loop_
_atom_site_label
_atom_site_fract_x
_atom_site_fract_y
_atom_site_fract_z
Rb1 0.0000 0.0000 0.2325
Tm1 0.3333 0.6667 0.5000
Hg1 0.6667 0.3333 0.0000
Sb1 0.3333 0.6667 0.0000
Sb2 0.6667 0.3333 0.5000


(8)
# Rb2ZnHgSb2 (PBE, optimized geometry)
# - calculated total energy (eV per cell) = -13.93
data_Rb2ZnHgSb2
_chemical_formula_sum 'Rb2 Zn1 Hg1 Sb2'
_space_group_name_H-M_alt 'P -6 m 2'
_space_group_IT_number 187
_space_group_name_Hall 'P -6 2'
_cell_length_a 4.7719
_cell_length_b 4.7719
_cell_length_c 11.2795
_cell_angle_alpha 90.00
_cell_angle_beta 90.00
_cell_angle_gamma 120.00
loop_
_atom_site_label
_atom_site_fract_x
_atom_site_fract_y
_atom_site_fract_z
Rb1 0.0000 0.0000 0.2498
Zn1 0.6667 0.3333 0.0000
Hg1 0.3333 0.6667 0.5000
Sb1 0.3333 0.6667 0.0000
Sb2 0.6667 0.3333 0.5000


(9)
# RbScHgTe3 (PBE, optimized geometry)
# - total moment (μB per formula unit) = 0.01
# - ΔE to the lowest computed polymorph (meV per atom) = 70
data_RbScHgTe3
_chemical_formula_sum 'Rb4 Sc4 Hg4 Te12'
_space_group_name_H-M_alt 'C 1 2/m 1'
_space_group_IT_number 12
_cell_length_a 20.0875
_cell_length_b 4.2846
_cell_length_c 9.8136
_cell_angle_alpha 90.00
_cell_angle_beta 100.65
_cell_angle_gamma 90.00
loop_
_space_group_symop_operation_xyz
'x,y,z'
'-x,-y,-z'
'-x,y,-z'
'x,-y,z'
'x+1/2,y+1/2,z'
'-x+1/2,-y+1/2,-z'
'-x+1/2,y+1/2,-z'
'x+1/2,-y+1/2,z'
loop_
_atom_site_label
_atom_site_fract_x
_atom_site_fract_y
_atom_site_fract_z
Rb1 0.1473 0.0000 0.0633
Sc1 0.1796 0.0000 0.5725
Hg1 0.0249 0.5000 0.7188
Te1 0.0000 0.0000 0.5000
Te2 0.0000 0.5000 0.0000
Te3 0.1731 0.5000 0.7725
Te4 0.1744 0.5000 0.3685


(10)
# RbScHgTe3 (PBE, optimized geometry)
# - total moment (μB per formula unit) = 0.00
# - ΔE to the lowest computed polymorph (meV per atom) = 2
data_RbScHgTe3
_chemical_formula_sum 'Rb4 Sc4 Hg4 Te12'
_space_group_name_H-M_alt 'P n m a'
_space_group_IT_number 62
_cell_length_a 11.5262
_cell_length_b 4.3746
_cell_length_c 16.1469
_cell_angle_alpha 90.00
_cell_angle_beta 90.00
_cell_angle_gamma 90.00
loop_
_space_group_symop_operation_xyz
'x,y,z'
'-x,-y,-z'
'-x+1/2,-y,z+1/2'
'x+1/2,y,-z+1/2'
'x+1/2,-y+1/2,-z+1/2'
'-x+1/2,y+1/2,z+1/2'
'-x,y+1/2,-z'
'x,-y+1/2,z'
loop_
_atom_site_label
_atom_site_fract_x
_atom_site_fract_y
_atom_site_fract_z
Rb1 0.2430 0.2500 0.0071
Sc1 0.0091 0.7500 0.7485
Hg1 0.2458 0.7500 0.2043
Te1 0.0287 0.7500 0.1278
Te2 0.0404 0.2500 0.6235
Te3 0.2427 0.2500 0.3201


(11)
# RbScHgTe3 (PBE, optimized geometry)
# - total moment (μB per formula unit) = 0.00
# - ΔE to the lowest computed polymorph (meV per atom) = 1
data_RbScHgTe3
_chemical_formula_sum 'Rb4 Sc4 Hg4 Te12'
_space_group_name_H-M_alt 'C m c m'
_space_group_IT_number 63
_space_group_name_Hall '-C 2c 2'
_cell_length_a 4.3461
_cell_length_b 16.3970
_cell_length_c 11.4554
_cell_angle_alpha 90.00
_cell_angle_beta 90.00
_cell_angle_gamma 90.00
loop_
_atom_site_label
_atom_site_fract_x
_atom_site_fract_y
_atom_site_fract_z
Rb1 0.0000 0.2418 0.2500
Sc1 0.0000 0.0000 0.0000
Hg1 0.0000 0.4547 0.7500
Te1 0.0000 0.0699 0.7500
Te2 0.0000 0.3767 0.5338


(12)
# RbScHgTe3 (PBE, optimized geometry)
# - total moment (μB per formula unit) = 0.00
# - ΔE to the lowest computed polymorph (meV per atom) = 0
data_RbScHgTe3
_chemical_formula_sum 'Rb4 Sc4 Hg4 Te12'
_space_group_name_H-M_alt 'P n m a'
_space_group_IT_number 62
_cell_length_a 16.2071
_cell_length_b 4.3884
_cell_length_c 11.6961
_cell_angle_alpha 90.00
_cell_angle_beta 90.00
_cell_angle_gamma 90.00
loop_
_space_group_symop_operation_xyz
'x,y,z'
'-x,-y,-z'
'-x+1/2,-y,z+1/2'
'x+1/2,y,-z+1/2'
'x+1/2,-y+1/2,-z+1/2'
'-x+1/2,y+1/2,z+1/2'
'-x,y+1/2,-z'
'x,-y+1/2,z'
loop_
_atom_site_label
_atom_site_fract_x
_atom_site_fract_y
_atom_site_fract_z
Rb1 0.2309 0.2500 0.0533
Sc1 0.0204 0.2500 0.3530
Hg1 0.0198 0.7500 0.0998
Te1 0.0908 0.2500 0.5783
Te2 0.0943 0.7500 0.8626
Te3 0.1358 0.7500 0.2772


What did the eighth record say?
# Rb2ZnHgSb2 (PBE, optimized geometry)
# - calculated total energy (eV per cell) = -13.93
data_Rb2ZnHgSb2
_chemical_formula_sum 'Rb2 Zn1 Hg1 Sb2'
_space_group_name_H-M_alt 'P -6 m 2'
_space_group_IT_number 187
_space_group_name_Hall 'P -6 2'
_cell_length_a 4.7719
_cell_length_b 4.7719
_cell_length_c 11.2795
_cell_angle_alpha 90.00
_cell_angle_beta 90.00
_cell_angle_gamma 120.00
loop_
_atom_site_label
_atom_site_fract_x
_atom_site_fract_y
_atom_site_fract_z
Rb1 0.0000 0.0000 0.2498
Zn1 0.6667 0.3333 0.0000
Hg1 0.3333 0.6667 0.5000
Sb1 0.3333 0.6667 0.0000
Sb2 0.6667 0.3333 0.5000